The following is a GGA-PBE calculation of CaMnW2 after structural relaxation, from Alexandria.

It has space group Imm2 (No. 44), with a = 3.031 Å, b = 4.891 Å, c = 9.186 Å, α = 90.00°, β = 90.00° and γ = 90.00°. Symmetry generates all atoms from Ca at (0.000, 0.000, 0.000), Mn at (0.000, 0.500, 0.239), W at (0.000, 0.000, 0.537) and W at (0.000, 0.500, 0.782).

The calculation puts the total energy at -67.33 eV per cell.



The following is a GGA-PBE calculation of CaMnW2 after structural relaxation, from Alexandria.

It has space group P4/mmm (No. 123), with a = 4.959 Å, b = 4.959 Å, c = 2.781 Å, α = 90.00°, β = 90.00° and γ = 90.00°. Symmetry generates all atoms from Ca at (0.000, 0.000, 0.000), Mn at (0.500, 0.500, 0.000) and W at (0.000, 0.500, 0.500).

The calculation puts the total energy at -32.28 eV per cell.



The following is a GGA-PBE calculation of Ca2MnW after structural relaxation, from Alexandria.

It has space group Cmmm (No. 65), with a = 6.032 Å, b = 9.806 Å, c = 2.953 Å, α = 90.00°, β = 90.00° and γ = 90.00°. Symmetry generates all atoms from Ca at (0.250, 0.250, 0.000), Mn at (0.000, 0.000, 0.500) and W at (0.000, 0.500, 0.500).

The calculation puts the total energy at -44.58 eV per cell.



The following is a GGA-PBE calculation of Ca2MnW after structural relaxation, from Alexandria.

It has space group I-42d (No. 122), with a = 10.918 Å, b = 10.918 Å, c = 4.309 Å, α = 90.00°, β = 90.00° and γ = 90.00°. Symmetry generates all atoms from Ca at (0.078, 0.750, 0.125), Mn at (0.000, 0.000, 0.000) and W at (0.000, 0.000, 0.500).

The calculation puts the total energy at -85.99 eV per cell.



The following is a GGA-PBE calculation of CaMnW2 after structural relaxation, from Alexandria.

It has space group P4mm (No. 99), with a = 3.054 Å, b = 3.054 Å, c = 7.746 Å, α = 90.00°, β = 90.00° and γ = 90.00°. Symmetry generates all atoms from Ca at (0.000, 0.000, 0.000), Mn at (0.500, 0.500, 0.291), W at (0.000, 0.000, 0.451) and W at (0.500, 0.500, 0.677).

The calculation puts the total energy at -34.66 eV per cell.



The following is a GGA-PBE calculation of CaMnW after structural relaxation, from Alexandria.

It has space group Fmm2 (No. 42), with a = 3.560 Å, b = 4.564 Å, c = 13.975 Å, α = 90.00°, β = 90.00° and γ = 90.00°. Symmetry generates all atoms from Ca at (0.000, 0.000, 0.000), Mn at (0.000, 0.000, 0.686) and W at (0.000, 0.000, 0.313).

The calculation puts the total energy at -87.63 eV per cell.



The following is a GGA-PBE calculation of Ca2MnW after structural relaxation, from Alexandria.

It has space group P4/mmm (No. 123), with a = 4.124 Å, b = 4.124 Å, c = 5.012 Å, α = 90.00°, β = 90.00° and γ = 90.00°. Symmetry generates all atoms from Ca at (0.000, 0.500, 0.000), Mn at (0.000, 0.000, 0.500) and W at (0.500, 0.500, 0.500).

The calculation puts the total energy at -22.13 eV per cell.



The following is a GGA-PBE calculation of CaMnW2 after structural relaxation, from Alexandria.

It has space group Cmmm (No. 65), with a = 3.300 Å, b = 4.437 Å, c = 9.307 Å, α = 90.00°, β = 90.00° and γ = 90.00°. Symmetry generates all atoms from Ca at (0.000, 0.000, 0.000), Mn at (0.000, 0.000, 0.500) and W at (0.000, 0.500, 0.291).

The calculation puts the total energy at -69.04 eV per cell.



The following is a GGA-PBE calculation of CaMnW2 after structural relaxation, from Alexandria.

It has space group C2/m (No. 12), with a = 11.071 Å, b = 2.862 Å, c = 4.868 Å, α = 90.00°, β = 115.91° and γ = 90.00°. Symmetry generates all atoms from Ca at (0.000, 0.000, 0.000), Mn at (0.000, 0.500, 0.500) and W at (0.211, 0.000, 0.711).

The calculation puts the total energy at -68.74 eV per cell.



The following is a GGA-PBE calculation of CaMnW2 after structural relaxation, from Alexandria.

It has space group P2/m (No. 10), with a = 2.729 Å, b = 4.787 Å, c = 5.353 Å, α = 90.00°, β = 100.78° and γ = 90.00°. Symmetry generates all atoms from Ca at (0.000, 0.000, 0.000), Mn at (0.500, 0.000, 0.500) and W at (0.268, 0.500, 0.738).

The calculation puts the total energy at -33.92 eV per cell.



The following is a GGA-PBE calculation of CaMnW2 after structural relaxation, from Alexandria.

It has space group Cm (No. 8), with a = 9.555 Å, b = 3.092 Å, c = 5.547 Å, α = 90.00°, β = 105.60° and γ = 90.00°. Symmetry generates all atoms from Ca at (0.000, 0.000, 0.000), Mn at (0.230, 0.000, 0.655), W at (0.021, 0.500, 0.518) and W at (0.290, 0.500, 0.366).

The calculation puts the total energy at -68.29 eV per cell.



The following is a GGA-PBE calculation of CaMnW2 after structural relaxation, from Alexandria.

It has space group Pm (No. 6), with a = 2.795 Å, b = 4.304 Å, c = 6.356 Å, α = 90.00°, β = 101.06° and γ = 90.00°. Symmetry generates all atoms from Ca at (0.000, 0.000, 0.000), Mn at (0.760, 0.500, 0.302), W at (0.259, 0.500, 0.686) and W at (0.472, 0.000, 0.496).

The calculation puts the total energy at -34.52 eV per cell.



The following is a GGA-PBE calculation of CaMnW after structural relaxation, from Alexandria.

It has space group P3m1 (No. 156), with a = 3.1488 Å, b = 3.1488 Å, c = 6.8526 Å, α = 90.00°, β = 90.00° and γ = 120.00°. Symmetry generates all atoms from Ca at (0.0000, 0.0000, 0.0000), Mn at (0.6667, 0.3333, 0.3702) and W at (0.3333, 0.6667, 0.5898).

The calculation puts the total energy at -21.72 eV per cell.



The following is a GGA-PBE calculation of CaMnW2 after structural relaxation, from Alexandria.

It has space group I4/mmm (No. 139), with a = 3.875 Å, b = 3.875 Å, c = 9.514 Å, α = 90.00°, β = 90.00° and γ = 90.00°. Symmetry generates all atoms from Ca at (0.000, 0.000, 0.000), Mn at (0.000, 0.000, 0.500) and W at (0.000, 0.500, 0.250).

The calculation puts the total energy at -67.14 eV per cell.



The following is a GGA-PBE calculation of CaMnW3 after structural relaxation, from Alexandria.

It has space group Pm-3m (No. 221), with a = 4.523 Å, b = 4.523 Å, c = 4.523 Å, α = 90.00°, β = 90.00° and γ = 90.00°. Symmetry generates all atoms from Ca at (0.000, 0.000, 0.000), Mn at (0.500, 0.500, 0.500) and W at (0.000, 0.000, 0.500).

The calculation puts the total energy at -32.47 eV per cell.



Number 1: distance to the lowest polymorph of the same formula 257 meV per atom, E_form 0.8536 eV per atom. Number 2: distance to the lowest polymorph of the same formula 604 meV per atom, E_form 1.2004 eV per atom. Number 3: distance to the lowest polymorph of the same formula 533 meV per atom, E_form 0.9586 eV per atom. Number 4: distance to the lowest polymorph of the same formula 732 meV per atom, E_form 1.1573 eV per atom. Number 5: distance to the lowest polymorph of the same formula 7 meV per atom, E_form 0.6035 eV per atom. Number 6: distance to the lowest polymorph of the same formula 209 meV per atom, E_form 0.7392 eV per atom. Number 7: distance to the lowest polymorph of the same formula 573 meV per atom, E_form 0.9992 eV per atom. Number 8: distance to the lowest polymorph of the same formula 42 meV per atom, E_form 0.6389 eV per atom. Number 9: distance to the lowest polymorph of the same formula 80 meV per atom, E_form 0.6765 eV per atom. Number 10: distance to the lowest polymorph of the same formula 193 meV per atom, E_form 0.7900 eV per atom. Number 11: distance to the lowest polymorph of the same formula 136 meV per atom, E_form 0.7329 eV per atom. Number 12: distance to the lowest polymorph of the same formula 42 meV per atom, E_form 0.6388 eV per atom. Number 13: distance to the lowest polymorph of the same formula 273 meV per atom, E_form 0.8028 eV per atom. Number 14: distance to the lowest polymorph of the same formula 280 meV per atom, E_form 0.8767 eV per atom. Number 15: distance to the lowest polymorph of the same formula 2280 meV per atom, E_form 3.5117 eV per atom.